(1)
Density functional theory data (PBE-GGA) for TbGd2Ho after structural relaxation.

Cell and atoms, written as POSCAR:
```
TbGd2Ho
1.0
3.5592 0.0000 0.0000
1.7796 3.0824 0.0000
1.7796 1.0275 11.6241
Gd Tb Ho
2 1 1
Direct
0.2497 0.2497 0.2509
0.7503 0.7503 0.7491
0.0000 0.0000 0.0000
0.5000 0.5000 0.5000
```

Crystal system   trigonal
ρ   8.312 g cm⁻³
ΔE_f   24 meV per atom
Relative energy among the computed polymorphs   0 meV per atom
N(E_F)   6.61 states/eV per cell


(2)
Density functional theory data (PBE-GGA) for LiAsHOs after structural relaxation.

Cell and atoms, written as POSCAR:
```
LiAsHOs
1.0
3.0688 0.0000 0.0000
-1.5344 2.6576 0.0000
0.0000 0.0000 18.8220
Li H Os As
3 3 3 3
Direct
0.3333 0.6667 0.6391
0.6667 0.3333 0.3058
0.0000 0.0000 0.9725
0.0000 0.0000 0.6679
0.6667 0.3333 0.0012
0.3333 0.6667 0.3345
0.0000 0.0000 0.7582
0.3333 0.6667 0.4249
0.6667 0.3333 0.0916
0.3333 0.6667 0.8478
0.0000 0.0000 0.1812
0.6667 0.3333 0.5145
```

Crystal system   trigonal
ρ   8.863 g cm⁻³
Relative energy among the computed polymorphs   0 meV per atom
N(E_F)   6.17 states/eV per cell